1.
VASP calculation (PBE) on a relaxed NdHgSeO crystal.

Summary:
calculated volume	21.5	Å³/atom
space group	P4/nmm, No. 129
energy above the most stable polymorph in this dataset	37	kJ/mol of formula units

Cell lengths 4.129, 4.129, 10.096 Å; angles 90.00, 90.00, 90.00 degrees
Fractional coordinates of all 8 atoms:
Nd 0.250 0.250 0.113
Nd 0.750 0.750 0.887
Hg 0.250 0.750 0.500
Hg 0.750 0.250 0.500
Se 0.250 0.250 0.735
Se 0.750 0.750 0.265
O 0.250 0.750 0.000
O 0.750 0.250 0.000

---

2.
VASP calculation (PBE) on a relaxed TcAsIrO crystal.

Summary:
calculated volume	14.8	Å³/atom
space group	Pm, No. 6
energy above the most stable polymorph in this dataset	28	kJ/mol of formula units

Cell lengths 5.171, 4.040, 5.650 Å; angles 90.00, 90.11, 90.00 degrees
Fractional coordinates of all 8 atoms:
Tc 0.000 0.000 0.000
Tc 0.499 0.000 0.355
As 0.025 0.000 0.427
As 0.525 0.000 0.928
Ir 0.357 0.500 0.710
Ir 0.857 0.500 0.645
O 0.060 0.500 0.959
O 0.559 0.500 0.395

---

3.
VASP calculation (PBE) on a relaxed Na2Mg2Al2AgAu crystal.

Summary:
uncorrected energy	-2.52	eV/atom
calculated volume	18.5	Å³/atom
space group	P-4m2, No. 115

Cell lengths 4.721, 4.721, 6.644 Å; angles 90.00, 90.00, 90.00 degrees
Fractional coordinates of all 8 atoms:
Na 0.000 0.000 0.000
Na 0.500 0.500 0.500
Mg 0.000 0.500 0.248
Mg 0.500 0.000 0.752
Al 0.000 0.500 0.753
Al 0.500 0.000 0.247
Ag 0.000 0.000 0.500
Au 0.500 0.500 0.000

---

4.
VASP calculation (PBE) on a relaxed ErMgMo crystal.

Summary:
calculated volume	26.0	Å³/atom
space group	F-43m, No. 216
energy above the most stable polymorph in this dataset	0	kJ/mol of formula units

Cell lengths 4.796, 4.796, 4.796 Å; angles 60.00, 60.00, 60.00 degrees
Fractional coordinates of all 3 atoms:
Er 0.000 0.000 0.000
Mg 0.500 0.500 0.500
Mo 0.250 0.250 0.250

---

5.
VASP calculation (PBE) on a relaxed Cs2HoErS4 crystal.

Summary:
uncorrected energy	-5.25	eV/atom
calculated volume	28.8	Å³/atom
space group	P-3m1, No. 164

Cell lengths 4.069, 4.069, 16.068 Å; angles 90.00, 90.00, 120.00 degrees
Fractional coordinates of all 8 atoms:
Cs 0.333 0.667 0.250
Cs 0.667 0.333 0.750
Ho 0.000 0.000 0.500
Er 0.000 0.000 0.000
S 0.333 0.667 0.591
S 0.333 0.667 0.909
S 0.667 0.333 0.091
S 0.667 0.333 0.409

---

6.
VASP calculation (PBE) on a relaxed TbBiN2O crystal.

Summary:
uncorrected energy	-6.68	eV/atom
calculated volume	14.9	Å³/atom
space group	Pmc2_1, No. 26

Cell lengths 3.643, 6.697, 6.099 Å; angles 90.00, 90.00, 90.00 degrees
Fractional coordinates of all 10 atoms:
Tb 0.000 0.147 0.000
Tb 0.000 0.853 0.500
Bi 0.500 0.331 0.537
Bi 0.500 0.669 0.037
N 0.000 0.184 0.611
N 0.000 0.816 0.111
N 0.500 0.380 0.906
N 0.500 0.620 0.406
O 0.500 0.108 0.258
O 0.500 0.892 0.758

---

7.
VASP calculation (PBE) on a relaxed Mg4SnGeIr2 crystal.

Summary:
uncorrected energy	-4.49	eV/atom
calculated volume	18.6	Å³/atom
space group	P-6m2, No. 187

Cell lengths 4.458, 4.458, 8.668 Å; angles 90.00, 90.00, 120.00 degrees
Fractional coordinates of all 8 atoms:
Mg 0.000 0.000 0.170
Mg 0.000 0.000 0.830
Mg 0.667 0.333 0.325
Mg 0.667 0.333 0.675
Sn 0.333 0.667 0.500
Ge 0.333 0.667 0.000
Ir 0.000 0.000 0.500
Ir 0.667 0.333 0.000

---

8.
VASP calculation (PBE) on a relaxed Tl2MoCl6 crystal.

Summary:
uncorrected energy	-3.93	eV/atom
calculated volume	29.3	Å³/atom
space group	P2_1/c, No. 14

Cell lengths 7.056, 7.438, 12.128 Å; angles 90.00, 123.99, 90.00 degrees
Fractional coordinates of all 18 atoms:
Tl 0.225 0.073 0.248
Tl 0.225 0.427 0.748
Tl 0.775 0.573 0.252
Tl 0.775 0.927 0.752
Mo 0.500 0.000 0.000
Mo 0.500 0.500 0.500
Cl 0.190 0.181 0.966
Cl 0.190 0.319 0.466
Cl 0.288 0.733 0.971
Cl 0.288 0.767 0.471
Cl 0.336 0.006 0.766
Cl 0.336 0.494 0.266
Cl 0.664 0.506 0.734
Cl 0.664 0.994 0.234
Cl 0.712 0.233 0.529
Cl 0.712 0.267 0.029
Cl 0.810 0.681 0.534
Cl 0.810 0.819 0.034

---

9.
VASP calculation (PBE) on a relaxed AgHPt crystal.

Summary:
uncorrected energy	-4.08	eV/atom
calculated volume	12.5	Å³/atom
space group	Pm, No. 6

Cell lengths 2.914, 4.605, 2.935 Å; angles 90.00, 108.28, 90.00 degrees
Fractional coordinates of all 3 atoms:
Ag 0.000 0.000 0.000
H 0.248 0.500 0.763
Pt 0.617 0.500 0.385

---

10.
VASP calculation (PBE) on a relaxed Ag2BAu crystal.

Summary:
uncorrected energy	-3.09	eV/atom
calculated volume	15.7	Å³/atom
space group	F-43m, No. 216

Cell lengths 4.464, 4.464, 4.464 Å; angles 60.00, 60.00, 60.00 degrees
Fractional coordinates of all 4 atoms:
Ag 0.000 0.000 0.000
Ag 0.250 0.250 0.250
B 0.500 0.500 0.500
Au 0.750 0.750 0.750

---

11.
VASP calculation (PBE) on a relaxed KZrNiS3 crystal.

Summary:
uncorrected energy	-5.85	eV/atom
calculated volume	22.3	Å³/atom
space group	P2_1/m, No. 11

Cell lengths 8.294, 3.730, 9.364 Å; angles 90.00, 112.41, 90.00 degrees
Fractional coordinates of all 12 atoms:
K 0.237 0.250 0.267
K 0.763 0.750 0.733
Zr 0.308 0.750 0.836
Zr 0.692 0.250 0.164
Ni 0.087 0.250 0.593
Ni 0.913 0.750 0.407
S 0.101 0.250 0.846
S 0.213 0.750 0.542
S 0.459 0.750 0.143
S 0.541 0.250 0.857
S 0.787 0.250 0.458
S 0.899 0.750 0.154

---

12.
VASP calculation (PBE) on a relaxed MgZn2S3 crystal.

Summary:
uncorrected energy	-3.44	eV/atom
calculated volume	18.8	Å³/atom
space group	Cmcm, No. 63

Cell lengths 6.338, 6.338, 10.511 Å; angles 90.00, 90.00, 147.63 degrees
Fractional coordinates of all 12 atoms:
Mg 0.224 0.776 0.750
Mg 0.776 0.224 0.250
Zn 0.000 0.000 0.000
Zn 0.000 0.000 0.500
Zn 0.497 0.503 0.250
Zn 0.503 0.497 0.750
S 0.121 0.879 0.250
S 0.374 0.626 0.081
S 0.374 0.626 0.419
S 0.626 0.374 0.581
S 0.626 0.374 0.919
S 0.879 0.121 0.750